# 1
Entry from the Alexandria database: CoSiIr2 after structural relaxation (PBE-GGA).

- raw total energy (eV per atom) = -7.45
- size of the total moment (μB per cell) = 2.07
- formation energy without anion corrections (eV per atom) = 0.116
- space group = F-43m

Cell and atoms, written as extended XYZ:
```
4
Lattice="4.247 0.000 0.000 2.124 3.678 0.000 2.124 1.226 3.468" Properties=species:S:1:pos:R:3 pbc="T T T"
Co 4.247 2.452 1.734
Ir 0.000 0.000 0.000
Ir 2.124 1.226 0.867
Si 6.371 3.678 2.601
```

# 2
Entry from the Alexandria database: CoSiIr2 after structural relaxation (PBE-GGA).

- raw total energy (eV per atom) = -7.49
- size of the total moment (μB per cell) = 1.15
- formation energy without anion corrections (eV per atom) = 0.074
- space group = Cmm2

Cell and atoms, written as extended XYZ:
```
4
Lattice="2.727 -0.001 0.000 -1.353 2.368 0.000 0.000 0.000 8.367" Properties=species:S:1:pos:R:3 pbc="T T T"
Co 0.687 1.184 6.067
Ir 0.000 0.000 8.240
Ir 0.687 1.184 2.322
Si 0.000 0.000 4.287
```

# 3
Entry from the Alexandria database: CoSi2Ir after structural relaxation (PBE-GGA).

- raw total energy (eV per atom) = -7.07
- excess energy over the best structure of this formula in the dataset (eV per atom) = 0.149
- size of the total moment (μB per cell) = 0.00
- formation energy without anion corrections (eV per atom) = -0.366
- space group = Imm2

Cell and atoms, written as extended XYZ:
```
4
Lattice="5.266 0.014 -0.009 3.146 4.224 0.009 -4.129 -2.271 2.351" Properties=species:S:1:pos:R:3 pbc="T T T"
Co 4.506 2.270 0.000
Ir 1.918 2.191 1.180
Si 8.176 4.119 0.000
Si 2.300 -0.256 1.171
```

# 4
Entry from the Alexandria database: CoSiIr4 after structural relaxation (PBE-GGA).

- raw total energy (eV per atom) = -7.29
- size of the total moment (μB per cell) = 4.36
- formation energy without anion corrections (eV per atom) = 0.709
- space group = F-43m

Cell and atoms, written as extended XYZ:
```
6
Lattice="-4.017 -2.104 -2.440 -4.669 2.131 0.415 -2.103 2.401 -4.041" Properties=species:S:1:pos:R:3 pbc="T T T"
Co 0.000 0.000 0.000
Si -8.091 1.821 -4.550
Ir -6.054 -0.143 -3.496
Ir -5.097 2.111 -4.297
Ir -6.381 1.977 -2.067
Ir -4.045 0.910 -2.274
```

# 5
Entry from the Alexandria database: CoSi2Ir after structural relaxation (PBE-GGA).

- raw total energy (eV per atom) = -7.13
- excess energy over the best structure of this formula in the dataset (eV per atom) = 0.085
- size of the total moment (μB per cell) = 0.00
- formation energy without anion corrections (eV per atom) = -0.429
- space group = R3m

Cell and atoms, written as extended XYZ:
```
4
Lattice="-3.297 1.513 0.684 -2.352 0.631 -2.774 -3.656 -3.406 -0.131" Properties=species:S:1:pos:R:3 pbc="T T T"
Co -7.345 -1.796 -1.550
Si -3.280 -2.531 -0.251
Si -2.279 -0.206 -0.570
Ir -4.711 -0.766 -1.092
```

# 6
Entry from the Alexandria database: CoSiIr after structural relaxation (PBE-GGA).

- raw total energy (eV per atom) = -7.17
- size of the total moment (μB per cell) = 0.52
- formation energy without anion corrections (eV per atom) = -0.040
- space group = Fmm2

Cell and atoms, written as extended XYZ:
```
3
Lattice="-3.066 5.111 -2.243 -4.599 2.908 -2.730 -0.677 1.590 2.111" Properties=species:S:1:pos:R:3 pbc="T T T"
Co -0.789 1.693 1.997
Ir -2.941 3.673 -0.184
Si -5.288 5.832 -2.564
```

# 7
Entry from the Alexandria database: CoSiIr2 after structural relaxation (PBE-GGA).

- raw total energy (eV per atom) = -7.48
- size of the total moment (μB per cell) = 1.81
- formation energy without anion corrections (eV per atom) = 0.083
- space group = Cmmm

Cell and atoms, written as extended XYZ:
```
4
Lattice="2.776 -0.006 0.000 -1.340 2.431 0.000 0.000 0.000 8.253" Properties=species:S:1:pos:R:3 pbc="T T T"
Co 0.718 1.212 6.190
Ir 0.000 0.000 0.152
Ir 0.000 0.000 3.974
Si 0.718 1.212 2.063
```

# 8
Entry from the Alexandria database: Co3SiIr after structural relaxation (PBE-GGA).

- raw total energy (eV per atom) = -5.65
- size of the total moment (μB per cell) = 6.06
- formation energy without anion corrections (eV per atom) = 1.473
- space group = Pm-3m

Cell and atoms, written as extended XYZ:
```
5
Lattice="4.535 0.000 0.000 0.000 4.535 0.000 0.000 0.000 4.535" Properties=species:S:1:pos:R:3 pbc="T T T"
Si 2.268 2.268 2.268
Ir 0.000 0.000 0.000
Co 0.000 2.268 0.000
Co 0.000 0.000 2.268
Co 2.268 0.000 0.000
```

# 9
Entry from the Alexandria database: CoSiIr3 after structural relaxation (PBE-GGA).

- raw total energy (eV per atom) = -6.89
- excess energy over the best structure of this formula in the dataset (eV per atom) = 0.000
- size of the total moment (μB per cell) = 3.65
- formation energy without anion corrections (eV per atom) = 0.937
- space group = Pm-3m

Cell and atoms, written as extended XYZ:
```
5
Lattice="-3.197 2.958 0.561 -1.973 -2.677 2.868 2.274 1.836 3.278" Properties=species:S:1:pos:R:3 pbc="T T T"
Si 0.000 0.000 0.000
Ir -0.987 -1.339 1.434
Ir 1.137 0.918 1.639
Ir -1.599 1.479 0.281
Co -1.448 1.058 3.354
```

# 10
Entry from the Alexandria database: CoSi2Ir2 after structural relaxation (PBE-GGA).

- raw total energy (eV per atom) = -7.41
- excess energy over the best structure of this formula in the dataset (eV per atom) = 0.069
- size of the total moment (μB per cell) = 3.17
- formation energy without anion corrections (eV per atom) = -0.275
- space group = P4/mbm

Cell and atoms, written as extended XYZ:
```
10
Lattice="7.057 0.000 0.000 0.000 7.057 0.000 0.000 0.000 2.758" Properties=species:S:1:pos:R:3 pbc="T T T"
Si 1.098 4.626 1.379
Si 4.626 5.959 1.379
Si 5.959 2.431 1.379
Si 2.431 1.098 1.379
Ir 2.516 6.045 0.000
Ir 6.045 4.540 0.000
Ir 4.540 1.012 0.000
Ir 1.012 2.516 0.000
Co 0.000 0.000 0.000
Co 3.528 3.528 0.000
```

# 11
Entry from the Alexandria database: CoSiIr2 after structural relaxation (PBE-GGA).

- raw total energy (eV per atom) = -7.82
- size of the total moment (μB per cell) = 0.63
- formation energy without anion corrections (eV per atom) = -0.260
- space group = Cmmm

Cell and atoms, written as extended XYZ:
```
4
Lattice="-0.264 -3.808 -2.137 4.303 0.421 0.668 -0.243 -1.332 2.404" Properties=species:S:1:pos:R:3 pbc="T T T"
Co 2.030 -0.455 1.536
Ir 0.000 0.000 0.000
Ir 2.020 -1.694 -0.735
Si -0.253 -2.570 0.133
```

# 12
Entry from the Alexandria database: CoSiIr2 after structural relaxation (PBE-GGA).

- raw total energy (eV per atom) = -7.74
- size of the total moment (μB per cell) = 1.68
- formation energy without anion corrections (eV per atom) = -0.174
- space group = R-3m

Cell and atoms, written as extended XYZ:
```
4
Lattice="8.114 -0.019 -0.011 7.640 2.734 -0.011 7.640 1.317 2.396" Properties=species:S:1:pos:R:3 pbc="T T T"
Co 17.546 3.024 1.780
Ir 23.274 4.011 2.361
Ir 11.818 2.036 1.199
Si 5.849 1.008 0.593
```

# 13
Entry from the Alexandria database: CoSi2Ir after structural relaxation (PBE-GGA).

- raw total energy (eV per atom) = -7.22
- excess energy over the best structure of this formula in the dataset (eV per atom) = 0.000
- size of the total moment (μB per cell) = 0.00
- formation energy without anion corrections (eV per atom) = -0.515
- space group = Cm

Cell and atoms, written as extended XYZ:
```
4
Lattice="4.406 -0.006 0.002 3.409 2.792 0.002 0.976 0.348 4.045" Properties=species:S:1:pos:R:3 pbc="T T T"
Co 4.382 1.562 2.401
Ir 2.201 0.785 0.762
Si 7.840 2.795 0.133
Si 6.580 2.346 2.781
```

# 14
Entry from the Alexandria database: CoSiIr after structural relaxation (PBE-GGA).

- raw total energy (eV per atom) = -7.48
- size of the total moment (μB per cell) = 1.02
- formation energy without anion corrections (eV per atom) = -0.352
- space group = I4mm

Cell and atoms, written as extended XYZ:
```
3
Lattice="5.009 -0.036 0.000 3.426 3.654 0.000 -4.218 -1.809 2.007" Properties=species:S:1:pos:R:3 pbc="T T T"
Co 0.188 0.081 0.000
Ir 2.691 1.154 0.000
Si 5.556 2.383 0.000
```